1.
Compound: CrTcO4
Source: Alexandria via LeMat-Bulk
Functional: GGA+U
Structure: relaxed

Cell lengths 4.616, 5.579, 5.535 Å; angles 113.29, 90.00, 90.00 degrees
Last column: magnetic moment on the atom in μB.
Fractional positions:
Cr1 0.000 0.500 0.500  3.03
Cr2 0.500 0.000 0.500  3.03
Tc1 0.500 0.500 0.000  1.25
Tc2 0.000 0.000 0.000  1.25
O1 0.294 0.841 0.149  0.01
O2 0.206 0.341 0.149  0.01
O3 0.693 0.647 0.338  0.00
O4 0.193 0.853 0.662  0.00
O5 0.807 0.147 0.338  0.00
O6 0.307 0.353 0.662  0.00
O7 0.794 0.659 0.851  0.01
O8 0.706 0.159 0.851  0.01

Output
**Space-group type**: P2_1/c, No. 14
**Energy**: -7.87 eV/atom
**Total magnetization**: 4.49 μB per formula unit
**DOS at the Fermi energy**: 0.41 states/eV/atom

---

2.
Compound: CrTc3O
Source: Alexandria via LeMat-Bulk
Functional: GGA+U
Structure: relaxed

Cell lengths 4.019, 4.019, 4.019 Å; angles 90.00, 90.00, 90.00 degrees
Last column: magnetic moment on the atom in μB.
Fractional positions:
Cr1 0.500 0.500 0.500  -0.07
Tc1 0.000 0.500 0.000  0.07
Tc2 0.000 0.000 0.500  0.07
Tc3 0.500 0.000 0.000  0.01
O1 0.000 0.000 0.000  -0.01

Output
**Space-group type**: Pm-3m, No. 221
**Energy**: -8.15 eV/atom
**E above lowest polymorph**: 0 meV per atom
**Total magnetization**: 0.08 μB per formula unit
**DOS at the Fermi energy**: 0.75 states/eV/atom

---

3.
Compound: Cr3TcO
Source: Alexandria via LeMat-Bulk
Functional: GGA+U
Structure: relaxed

Cell lengths 4.185, 4.185, 4.185 Å; angles 90.00, 90.00, 90.00 degrees
Last column: magnetic moment on the atom in μB.
Fractional positions:
Cr1 0.000 0.500 0.000  3.83
Cr2 0.000 0.000 0.500  3.71
Cr3 0.500 0.000 0.000  3.68
Tc1 0.500 0.500 0.500  -1.88
O1 0.000 0.000 0.000  -0.10

Output
**Space-group type**: Pm-3m, No. 221
**Energy**: -7.46 eV/atom
**E above lowest polymorph**: 0 meV per atom
**Total magnetization**: 9.70 μB per formula unit
**DOS at the Fermi energy**: 1.36 states/eV/atom

---

4.
Compound: CrTc3O
Source: Alexandria via LeMat-Bulk
Functional: GGA+U
Structure: relaxed

Cell lengths 4.451, 4.451, 4.451 Å; angles 90.00, 90.00, 90.00 degrees
Last column: magnetic moment on the atom in μB.
Fractional positions:
Cr1 0.000 0.000 0.000  -1.58
Tc1 0.000 0.500 0.000  1.25
Tc2 0.000 0.000 0.500  1.14
Tc3 0.500 0.000 0.000  1.21
O1 0.500 0.500 0.500  0.02

Output
**Space-group type**: Pm-3m, No. 221
**Energy**: -6.38 eV/atom
**E above lowest polymorph**: 1766 meV per atom
**Total magnetization**: 2.35 μB per formula unit
**DOS at the Fermi energy**: 1.22 states/eV/atom

---

5.
Compound: TiCrTcO6
Source: Alexandria via LeMat-Bulk
Functional: GGA+U
Structure: relaxed

Cell lengths 4.996, 4.996, 8.787 Å; angles 90.00, 90.00, 120.00 degrees
Last column: magnetic moment on the atom in μB.
Fractional positions:
Ti1 0.667 0.333 0.250  0.18
Ti2 0.333 0.667 0.750  0.18
Cr1 0.333 0.667 0.250  3.02
Cr2 0.667 0.333 0.750  3.02
Tc1 0.000 0.000 0.000  1.60
Tc2 0.000 0.000 0.500  1.60
O1 0.678 0.670 0.128  0.00
O2 0.991 0.322 0.128  0.00
O3 0.322 0.991 0.628  0.00
O4 0.009 0.678 0.872  0.00
O5 0.330 0.322 0.372  0.00
O6 0.991 0.670 0.372  0.00
O7 0.670 0.991 0.872  0.00
O8 0.678 0.009 0.372  0.00
O9 0.009 0.330 0.628  0.00
O10 0.330 0.009 0.128  0.00
O11 0.670 0.678 0.628  0.00
O12 0.322 0.330 0.872  0.00

Output
**Space-group type**: P-31c, No. 163
**Energy**: -8.16 eV/atom
**Total magnetization**: 5.02 μB per formula unit
**DOS at the Fermi energy**: 0.29 states/eV/atom

---

6.
Compound: TiCr2TcO6
Source: Alexandria via LeMat-Bulk
Functional: GGA+U
Structure: relaxed

Cell lengths 5.103, 5.152, 5.706 Å; angles 61.37, 62.59, 59.97 degrees
Last column: magnetic moment on the atom in μB.
Fractional positions:
Ti1 0.316 0.326 0.046  0.13
Cr1 0.518 0.512 0.450  3.63
Cr2 0.016 0.015 0.954  3.12
Tc1 0.816 0.826 0.539  -1.56
O1 0.597 0.200 0.242  -0.06
O2 0.216 0.938 0.243  -0.06
O3 0.940 0.597 0.247  -0.05
O4 0.419 0.720 0.779  -0.07
O5 0.719 0.104 0.757  -0.08
O6 0.105 0.422 0.759  -0.08

Output
**Space-group type**: P1, No. 1
**Energy**: -8.22 eV/atom
**Total magnetization**: 5.00 μB per formula unit
**DOS at the Fermi energy**: 0.45 states/eV/atom

---

7.
Compound: TlCrTcO6
Source: Alexandria via LeMat-Bulk
Functional: GGA+U
Structure: relaxed

Cell lengths 5.206, 5.205, 4.858 Å; angles 90.02, 90.01, 60.00 degrees
Last column: magnetic moment on the atom in μB.
Fractional positions:
Tl1 0.000 0.000 0.000  0.02
Cr1 0.667 0.667 0.500  2.91
Tc1 0.333 0.333 0.500  0.20
O1 0.011 0.369 0.280  -0.02
O2 0.370 0.011 0.721  -0.02
O3 0.620 0.370 0.721  -0.02
O4 0.011 0.620 0.720  -0.02
O5 0.370 0.620 0.279  -0.02
O6 0.620 0.011 0.279  -0.02

Output
**Space-group type**: P312, No. 149
**Energy**: -6.83 eV/atom
**Total magnetization**: 3.08 μB per formula unit
**DOS at the Fermi energy**: 0.25 states/eV/atom

---

8.
Compound: ZrCrTc2O
Source: Alexandria via LeMat-Bulk
Functional: GGA+U
Structure: relaxed

Cell lengths 4.287, 3.958, 4.287 Å; angles 90.00, 90.00, 90.00 degrees
Last column: magnetic moment on the atom in μB.
Fractional positions:
O1 0.000 0.000 0.000  -0.05
Cr1 0.000 0.500 0.000  3.50
Tc1 0.000 0.000 0.500  -0.43
Tc2 0.500 0.000 0.000  -0.49
Zr1 0.500 0.500 0.500  0.08

Output
**Space-group type**: P4/mmm, No. 123
**Energy**: -8.55 eV/atom
**Total magnetization**: 2.76 μB per formula unit
**DOS at the Fermi energy**: 0.76 states/eV/atom

---

9.
Compound: CrTe3O
Source: Alexandria via LeMat-Bulk
Functional: GGA+U
Structure: relaxed

Cell lengths 4.972, 4.972, 4.972 Å; angles 90.00, 90.00, 90.00 degrees
Last column: magnetic moment on the atom in μB.
Fractional positions:
Cr1 0.000 0.000 0.000  0.09
Te1 0.000 0.500 0.000  -0.03
Te2 0.000 0.000 0.500  -0.06
Te3 0.500 0.000 0.000  -0.01
O1 0.500 0.500 0.500  -0.07

Output
**Space-group type**: Pm-3m, No. 221
**Energy**: -3.12 eV/atom
**E above lowest polymorph**: 1062 meV per atom
**Total magnetization**: 0.16 μB per formula unit
**DOS at the Fermi energy**: 1.49 states/eV/atom

---

10.
Compound: Cr3TeO
Source: Alexandria via LeMat-Bulk
Functional: GGA+U
Structure: relaxed

Cell lengths 5.314, 5.314, 5.314 Å; angles 90.00, 90.00, 90.00 degrees
Last column: magnetic moment on the atom in μB.
Fractional positions:
Cr1 0.000 0.500 0.000  4.41
Cr2 0.000 0.000 0.500  4.48
Cr3 0.500 0.000 0.000  4.41
Te1 0.000 0.000 0.000  -0.12
O1 0.500 0.500 0.500  -0.63

Output
**Space-group type**: Pm-3m, No. 221
**Energy**: -5.27 eV/atom
**E above lowest polymorph**: 1224 meV per atom
**Total magnetization**: 14.00 μB per formula unit
**DOS at the Fermi energy**: 1.24 states/eV/atom

---

11.
Compound: CrTe2O6
Source: Alexandria via LeMat-Bulk
Functional: GGA+U
Structure: relaxed

Cell lengths 5.503, 8.090, 8.090 Å; angles 84.52, 112.85, 112.85 degrees
Last column: magnetic moment on the atom in μB.
Fractional positions:
Cr1 0.250 0.926 0.074  2.20
Cr2 0.750 0.074 0.926  2.20
Te1 0.280 0.381 0.153  0.02
Te2 0.220 0.847 0.619  0.02
Te3 0.720 0.619 0.847  0.02
Te4 0.780 0.153 0.381  0.02
O1 0.668 0.352 0.304  -0.01
O2 0.832 0.696 0.648  -0.01
O3 0.332 0.648 0.696  -0.01
O4 0.168 0.304 0.352  -0.01
O5 0.647 0.020 0.688  -0.10
O6 0.853 0.312 0.980  -0.10
O7 0.353 0.980 0.312  -0.10
O8 0.147 0.688 0.020  -0.10
O9 0.179 0.159 0.018  -0.03
O10 0.321 0.982 0.841  -0.03
O11 0.821 0.841 0.982  -0.03
O12 0.679 0.018 0.159  -0.03

Output
**Space-group type**: C2/c, No. 15
**Energy**: -5.96 eV/atom
**Total magnetization**: 2.00 μB per formula unit

---

12.
Compound: CrTeO4
Source: Alexandria via LeMat-Bulk
Functional: GGA+U
Structure: relaxed

Cell lengths 3.253, 4.676, 4.676 Å; angles 91.18, 90.00, 90.00 degrees
Last column: magnetic moment on the atom in μB.
Fractional positions:
Cr1 0.500 0.500 0.500  2.99
Te1 0.000 0.000 0.000  0.00
O1 0.500 0.806 0.194  -0.03
O2 0.500 0.194 0.806  -0.03
O3 0.000 0.310 0.310  -0.03
O4 0.000 0.690 0.690  -0.03

Output
**Space-group type**: Cmmm, No. 65
**Energy**: -6.38 eV/atom
**E above lowest polymorph**: 0 meV per atom
**Total magnetization**: 2.97 μB per formula unit
**DOS at the Fermi energy**: 0.22 states/eV/atom

---

13.
Compound: CrTeO4
Source: Alexandria via LeMat-Bulk
Functional: GGA+U
Structure: relaxed

Cell lengths 4.759, 5.157, 5.757 Å; angles 90.00, 90.00, 90.00 degrees
Last column: magnetic moment on the atom in μB.
Fractional positions:
Cr1 0.000 0.500 0.152  2.95
Cr2 0.500 0.500 0.652  2.95
Te1 0.000 0.000 0.843  -0.03
Te2 0.500 0.000 0.343  -0.03
O1 0.224 0.828 0.107  -0.05
O2 0.235 0.330 0.895  -0.08
O3 0.265 0.330 0.395  -0.08
O4 0.276 0.828 0.607  -0.05
O5 0.735 0.670 0.395  -0.08
O6 0.724 0.172 0.607  -0.05
O7 0.776 0.172 0.107  -0.05
O8 0.765 0.670 0.895  -0.08

Output
**Space-group type**: Pnc2, No. 30
**Energy**: -6.37 eV/atom
**E above lowest polymorph**: 16 meV per atom
**Total magnetization**: 2.73 μB per formula unit
**DOS at the Fermi energy**: 0.32 states/eV/atom

---

14.
Compound: Cr3TeO
Source: Alexandria via LeMat-Bulk
Functional: GGA+U
Structure: relaxed

Cell lengths 4.487, 4.487, 4.487 Å; angles 90.00, 90.00, 90.00 degrees
Last column: magnetic moment on the atom in μB.
Fractional positions:
Cr1 0.000 0.500 0.000  4.26
Cr2 0.000 0.000 0.500  4.43
Cr3 0.500 0.000 0.000  4.12
Te1 0.500 0.500 0.500  -0.03
O1 0.000 0.000 0.000  -0.08

Output
**Space-group type**: Pm-3m, No. 221
**Energy**: -6.50 eV/atom
**E above lowest polymorph**: 0 meV per atom
**Total magnetization**: 14.00 μB per formula unit
**DOS at the Fermi energy**: 0.64 states/eV/atom

---

15.
Compound: Cr3TeO8
Source: Alexandria via LeMat-Bulk
Functional: GGA+U
Structure: relaxed

Cell lengths 6.002, 6.002, 9.153 Å; angles 90.00, 90.00, 120.00 degrees
Last column: magnetic moment on the atom in μB.
Fractional positions:
Cr1 0.171 0.829 0.213  2.83
Cr2 0.171 0.341 0.213  2.83
Cr3 0.659 0.829 0.213  2.83
Cr4 0.341 0.171 0.713  2.83
Cr5 0.829 0.659 0.713  2.83
Cr6 0.829 0.171 0.713  2.83
Te1 0.333 0.667 0.491  0.04
Te2 0.667 0.333 0.991  0.04
O1 0.172 0.828 0.598  -0.01
O2 0.045 0.522 0.345  -0.07
O3 0.333 0.667 0.109  -0.13
O4 0.000 0.000 0.293  -0.29
O5 0.000 0.000 0.793  -0.29
O6 0.172 0.345 0.598  -0.01
O7 0.478 0.955 0.345  -0.07
O8 0.478 0.522 0.345  -0.07
O9 0.345 0.172 0.098  -0.01
O10 0.655 0.828 0.598  -0.01
O11 0.522 0.478 0.845  -0.07
O12 0.522 0.045 0.845  -0.07
O13 0.667 0.333 0.609  -0.13
O14 0.828 0.655 0.098  -0.01
O15 0.955 0.478 0.845  -0.07
O16 0.828 0.172 0.098  -0.01

Output
**Space-group type**: P6_3mc, No. 186
**Energy**: -6.93 eV/atom
**Total magnetization**: 8.00 μB per formula unit

---

16.
Compound: CrTe3O
Source: Alexandria via LeMat-Bulk
Functional: GGA+U
Structure: relaxed

Cell lengths 4.864, 4.864, 4.864 Å; angles 90.00, 90.00, 90.00 degrees
Last column: magnetic moment on the atom in μB.
Fractional positions:
Cr1 0.500 0.500 0.500  4.34
Te1 0.000 0.500 0.000  -0.08
Te2 0.000 0.000 0.500  -0.08
Te3 0.500 0.000 0.000  -0.08
O1 0.000 0.000 0.000  -0.04

Output
**Space-group type**: Pm-3m, No. 221
**Energy**: -4.18 eV/atom
**E above lowest polymorph**: 0 meV per atom
**Total magnetization**: 4.33 μB per formula unit
**DOS at the Fermi energy**: 0.67 states/eV/atom

---

17.
Compound: ThCr2TeO8
Source: Alexandria via LeMat-Bulk
Functional: GGA+U
Structure: relaxed

Cell lengths 4.724, 4.726, 6.715 Å; angles 90.00, 90.00, 89.37 degrees
Last column: magnetic moment on the atom in μB.
Fractional positions:
Th1 0.000 0.000 0.500  0.01
Cr1 0.500 0.500 0.759  3.01
Cr2 0.500 0.500 0.241  3.01
Te1 0.000 0.000 0.000  0.01
O1 0.197 0.803 0.214  -0.01
O2 0.704 0.704 0.000  -0.03
O3 0.803 0.198 0.214  -0.01
O4 0.803 0.197 0.786  -0.01
O5 0.296 0.296 0.000  -0.03
O6 0.197 0.802 0.786  -0.01
O7 0.672 0.673 0.500  -0.07
O8 0.328 0.327 0.500  -0.07

Output
**Space-group type**: Cmmm, No. 65
**Energy**: -7.40 eV/atom
**Total magnetization**: 6.00 μB per formula unit

---

18.
Compound: TiCrTeO6
Source: Alexandria via LeMat-Bulk
Functional: GGA+U
Structure: relaxed

Cell lengths 5.179, 5.179, 8.767 Å; angles 90.00, 90.00, 120.00 degrees
Last column: magnetic moment on the atom in μB.
Fractional positions:
Ti1 0.667 0.333 0.250  -0.06
Ti2 0.333 0.667 0.750  -0.06
Cr1 0.000 0.000 0.000  2.98
Cr2 0.000 0.000 0.500  2.98
Te1 0.333 0.667 0.250  -0.05
Te2 0.667 0.333 0.750  -0.05
O1 0.668 0.658 0.129  -0.04
O2 0.990 0.332 0.129  -0.04
O3 0.332 0.990 0.629  -0.04
O4 0.010 0.668 0.871  -0.04
O5 0.342 0.332 0.371  -0.04
O6 0.990 0.658 0.371  -0.04
O7 0.658 0.990 0.871  -0.04
O8 0.668 0.010 0.371  -0.04
O9 0.010 0.342 0.629  -0.04
O10 0.342 0.010 0.129  -0.04
O11 0.658 0.668 0.629  -0.04
O12 0.332 0.342 0.871  -0.04

Output
**Space-group type**: P-31c, No. 163
**Energy**: -7.13 eV/atom
**Total magnetization**: 2.67 μB per formula unit
**DOS at the Fermi energy**: 0.50 states/eV/atom

---

19.
Compound: Tl2CrTeO6
Source: Alexandria via LeMat-Bulk
Functional: GGA+U
Structure: relaxed

Cell lengths 6.745, 7.789, 7.240 Å; angles 90.00, 90.00, 90.00 degrees
Fractional positions:
Tl1 0.500 0.840 0.255
Tl2 0.000 0.160 0.755
Tl3 0.500 0.840 0.745
Tl4 0.000 0.160 0.245
Cr1 0.000 0.639 0.500
Cr2 0.500 0.361 0.000
Te1 0.500 0.255 0.500
Te2 0.000 0.745 0.000
O1 0.500 0.234 0.194
O2 0.500 0.234 0.806
O3 0.000 0.766 0.306
O4 0.000 0.766 0.694
O5 0.289 0.096 0.500
O6 0.711 0.096 0.500
O7 0.197 0.517 0.500
O8 0.803 0.517 0.500
O9 0.697 0.483 0.000
O10 0.303 0.483 0.000
O11 0.211 0.904 0.000
O12 0.789 0.904 0.000

Output
**Space-group type**: Pmmn, No. 59
**Energy**: -5.57 eV/atom
**Total magnetization**: 0.00 μB per formula unit
**DOS at the Fermi energy**: 0.00 states/eV/atom

---

20.
Compound: Tl2CrTeO8
Source: Alexandria via LeMat-Bulk
Functional: GGA+U
Structure: relaxed

Cell lengths 5.003, 4.948, 6.398 Å; angles 90.00, 90.00, 93.05 degrees
Last column: magnetic moment on the atom in μB.
Fractional positions:
Tl1 0.500 0.500 0.745  0.01
Tl2 0.500 0.500 0.255  0.01
Cr1 0.000 0.000 0.500  2.31
Te1 0.000 0.000 0.000  0.02
O1 0.163 0.819 0.242  -0.04
O2 0.704 0.729 0.000  0.01
O3 0.837 0.181 0.242  -0.04
O4 0.837 0.181 0.758  -0.04
O5 0.296 0.271 0.000  0.01
O6 0.163 0.819 0.758  -0.04
O7 0.720 0.735 0.500  -0.12
O8 0.280 0.265 0.500  -0.12

Output
**Space-group type**: P2/m, No. 10
**Energy**: -5.50 eV/atom
**Total magnetization**: 2.00 μB per formula unit
**DOS at the Fermi energy**: 0.03 states/eV/atom